[1]
## LaDyEr4 (GGA-PBE)

Data for an optimized crystal structure of LaDyEr4.

Structure (POSCAR):
```
LaDyEr4
1.0
-5.2814 -0.2208 3.6339
3.8196 -8.1443 -1.1938
4.8260 5.2215 4.7947
La Dy Er
2 2 8
direct
0.3327 0.5827 0.1655
0.6673 0.4173 0.8345
0.2480 0.9980 0.9960
0.7520 0.0020 0.0040
0.0384 0.1575 0.7309
0.7442 0.7119 0.6108
0.1924 0.5733 0.7309
0.3665 0.8989 0.6108
0.6335 0.1011 0.3892
0.8076 0.4267 0.2691
0.2558 0.2881 0.3892
0.9616 0.8425 0.2691
```

## Properties
For the energy relative to the elements, the calculation gives 0.142 eV per atom. As for the energy above the most stable polymorph in this dataset: 0.0661 eV/atom. As for the magnetization: 0.0 μB/f.u.

---

[2]
## La4DyEr3 (GGA-PBE)

Data for an optimized crystal structure of La4DyEr3.

Structure (POSCAR):
```
La4DyEr3
1.0
-3.0373 2.4551 3.3419
-6.5657 -7.8643 -0.1898
5.0377 -4.3942 7.8067
Er Dy La
6 2 8
direct
0.5644 0.6161 0.0000
0.0644 0.6156 0.2502
0.5644 0.3844 0.2498
0.0644 0.3839 0.5000
0.5644 0.3844 0.7502
0.0644 0.6156 0.7498
0.0644 0.3845 0.0000
0.5644 0.6155 0.5000
0.0644 0.8712 0.0000
0.5644 0.1282 0.0000
0.0644 0.1279 0.2498
0.5644 0.8721 0.2502
0.0644 0.8718 0.5000
0.5644 0.1288 0.5000
0.5644 0.8721 0.7498
0.0644 0.1279 0.7502
```

## Properties
For the energy relative to the elements, the calculation gives 0.032 eV per atom. As for the magnetization: 0.0 μB/f.u.

---

[3]
## LaDy2Er2 (GGA-PBE)

Data for an optimized crystal structure of LaDy2Er2.

Structure (POSCAR):
```
LaDy2Er2
1.0
3.5695 0.0000 0.0000
0.0000 3.5695 0.0000
-1.7847 -1.7847 12.6390
La Dy Er
1 2 2
direct
0.0000 0.0000 0.0000
0.6041 0.6041 0.2082
0.3959 0.3959 0.7918
0.7985 0.7985 0.5970
0.2015 0.2015 0.4030
```

## Properties
For the energy relative to the elements, the calculation gives 0.031 eV per atom. As for the energy above the most stable polymorph in this dataset: 0.0000 eV/atom. As for the magnetization: 0.0 μB/f.u.

---

[4]
## LaDy3Er6 (GGA-PBE)

Data for an optimized crystal structure of LaDy3Er6.

Structure (POSCAR):
```
LaDy3Er6
1.0
-6.9835 6.5973 1.9083
-9.4002 -2.2026 -1.6493
-5.7723 0.0928 3.6915
La Dy Er
1 3 6
direct
0.8999 0.8999 0.3004
0.3995 0.3995 0.8015
0.6460 0.6460 0.0619
0.1523 0.1523 0.5432
0.9007 0.5656 0.2990
0.2348 0.9007 0.2990
0.5656 0.2348 0.2990
0.0717 0.4007 0.7987
0.7289 0.0717 0.7987
0.4007 0.7289 0.7987
```

## Properties
For the energy relative to the elements, the calculation gives 0.294 eV per atom. As for the energy above the most stable polymorph in this dataset: 0.1573 eV/atom. As for the magnetization: 0.0 μB/f.u.

---

[5]
## LaDy10Er4 (GGA-PBE)

Data for an optimized crystal structure of LaDy10Er4.

Structure (POSCAR):
```
LaDy10Er4
1.0
5.9819 0.0000 2.7011
2.9910 9.0088 1.3505
-0.7165 0.0000 9.5611
La Dy Er
1 10 4
direct
0.0000 0.0000 0.0000
0.2500 0.5000 0.5000
0.6229 0.4188 0.8382
0.9584 0.1618 0.4188
0.5389 0.8382 0.5812
0.8798 0.5812 0.1618
0.3771 0.5812 0.1618
0.7500 0.5000 0.5000
0.1202 0.4188 0.8382
0.4611 0.1618 0.4188
0.0416 0.8382 0.5812
0.4327 0.8911 0.2434
0.6761 0.7566 0.8911
0.3239 0.2434 0.1089
0.5673 0.1089 0.7566
```

## Properties
For the energy relative to the elements, the calculation gives 0.554 eV per atom. As for the magnetization: 0.0 μB/f.u.

---

[6]
## La7DyEr3 (GGA-PBE)

Data for an optimized crystal structure of La7DyEr3.

Structure (POSCAR):
```
La7DyEr3
1.0
-5.7272 1.5674 -0.8617
0.9146 -3.9271 7.6655
4.3464 6.4725 3.7729
La Dy Er
7 1 3
direct
0.2096 0.2093 0.2093
0.3071 0.0197 0.5944
0.6929 0.4056 0.9803
0.3071 0.5944 0.0197
0.0000 0.5000 0.5000
0.6929 0.9803 0.4056
0.7904 0.7907 0.7907
0.5000 0.5000 0.5000
0.0000 0.7950 0.2050
0.5000 0.0000 0.0000
0.0000 0.2050 0.7950
```

## Properties
For the energy relative to the elements, the calculation gives 0.215 eV per atom. As for the energy above the most stable polymorph in this dataset: 0.1025 eV/atom. As for the magnetization: 0.0 μB/f.u.